# 1
DFT (PBE) results for an optimized crystal structure of Cd2AsW.

Lattice parameters (Å, degrees): 3.578 4.526 9.534 90.00 90.00 90.00
Atoms (fractional coordinates):
Cd 0.000 0.000 0.239
Cd 0.000 0.000 0.761
Cd 0.500 0.500 0.239
Cd 0.500 0.500 0.761
As 0.000 0.500 0.500
As 0.500 0.000 0.500
W 0.000 0.500 0.000
W 0.500 0.000 0.000

Calculated values
density = 10.40 g cm⁻³
SG = Cmmm
formation energy from the elements = 537.9 meV per atom
total DFT energy (no corrections) = -17.3 eV per formula unit
total magnetization = 0.0 μB/f.u.

# 2
DFT (PBE) results for an optimized crystal structure of Co3W3C.

Lattice parameters (Å, degrees): 7.836 7.836 7.836 60.00 60.00 60.00
Atoms (fractional coordinates):
Co 0.000 0.000 0.000
Co 0.000 0.000 0.500
Co 0.000 0.500 0.000
Co 0.116 0.795 0.795
Co 0.205 0.205 0.205
Co 0.205 0.205 0.884
Co 0.205 0.884 0.205
Co 0.500 0.000 0.000
Co 0.795 0.116 0.795
Co 0.795 0.795 0.116
Co 0.795 0.795 0.795
Co 0.884 0.205 0.205
W 0.173 0.173 0.577
W 0.173 0.577 0.173
W 0.173 0.577 0.577
W 0.423 0.423 0.827
W 0.423 0.827 0.423
W 0.423 0.827 0.827
W 0.577 0.173 0.173
W 0.577 0.173 0.577
W 0.577 0.577 0.173
W 0.827 0.423 0.423
W 0.827 0.423 0.827
W 0.827 0.827 0.423
C 0.000 0.500 0.500
C 0.500 0.000 0.500
C 0.500 0.500 0.000
C 0.500 0.500 0.500

Calculated values
density = 14.45 g cm⁻³
SG = Fd-3m
formation energy from the elements = -13.0 meV per atom
total DFT energy (no corrections) = -69.5 eV per formula unit
total magnetization = 3.5 μB/f.u.

# 3
DFT (PBE) results for an optimized crystal structure of LaMgSi2Ni2.

Lattice parameters (Å, degrees): 4.113 4.113 7.015 90.00 90.00 120.00
Atoms (fractional coordinates):
La 0.000 0.000 0.000
Mg 0.000 0.000 0.500
Si 0.333 0.667 0.297
Si 0.667 0.333 0.703
Ni 0.333 0.667 0.655
Ni 0.667 0.333 0.345

Calculated values
formation energy (no corrections) = -0.6291 eV per atom
density = 5.44 g cm⁻³
SG = P-3m1
total DFT energy (no corrections) = -32.7 eV per formula unit
total magnetization = 0.0 μB/f.u.

# 4
DFT (PBE) results for an optimized crystal structure of GdURu2.

Lattice parameters (Å, degrees): 3.448 3.448 24.186 90.00 90.00 120.00
Atoms (fractional coordinates):
Gd 0.000 0.000 0.000
Gd 0.333 0.667 0.667
Gd 0.667 0.333 0.333
U 0.000 0.000 0.500
U 0.333 0.667 0.167
U 0.667 0.333 0.833
Ru 0.000 0.000 0.237
Ru 0.000 0.000 0.763
Ru 0.333 0.667 0.429
Ru 0.333 0.667 0.904
Ru 0.667 0.333 0.096
Ru 0.667 0.333 0.571

Calculated values
density = 11.95 g cm⁻³
relative energy among the computed polymorphs = 0.71 eV/f.u.
SG = R-3m
formation energy from the elements = -136.9 meV per atom
total DFT energy (no corrections) = -44.5 eV per formula unit
total magnetization = 7.5 μB/f.u.